VASP calculation (PBE) on Sb3AsRh after structural relaxation.

Values from the calculation:
uncorrected formation energy: 1.07 eV per atom
space group: No. 221
ΔE to the lowest computed polymorph: 3.22 eV/f.u.
crystal system: cubic
E_tot: -3.805 eV/atom

Unit cell a=5.2098 b=5.2098 c=5.2098 alpha=90.00 beta=90.00 gamma=90.00
Last column: nearest neighbours and their distance in Å.
Atoms (fractional coordinates):
Sb1 0.0000 0.0000 0.5000  2 As 2.60
Sb2 0.0000 0.5000 0.0000  2 As 2.60
Sb3 0.5000 0.0000 0.0000  2 As 2.60
As1 0.0000 0.0000 0.0000  6 Sb 2.60
Rh1 0.5000 0.5000 0.5000  12 Sb 3.68